Record 1
Compound: Ti3TlPb
Source: the Alexandria database
Functional: PBE
Structure: optimized geometry

Summary:
* ΔE to the lowest computed polymorph: 844 meV/atom

Unit cell a=5.1045 b=5.1045 c=5.1045 alpha=90.00 beta=90.00 gamma=90.00
Last column: magnetic moment on the atom in μB.
Atoms (fractional coordinates):
Pb: 0.5000 0.5000 0.5000  -0.06
Tl: 0.0000 0.0000 0.0000  -0.02
Ti: 0.0000 0.5000 0.0000  0.88
Ti: 0.0000 0.0000 0.5000  0.79
Ti: 0.5000 0.0000 0.0000  0.83

Record 2
Compound: CoBiMo2
Source: the Alexandria database
Functional: PBE
Structure: optimized geometry

Summary:
* total energy: -54.7 eV/cell

Unit cell a=5.9863 b=5.9863 c=6.7067 alpha=63.49 beta=63.49 gamma=90.00
Atoms (fractional coordinates):
Mo: 0.5527 0.1250 0.2500
Mo: 0.1973 0.6250 0.2500
Mo: 0.3750 0.4473 0.7500
Mo: 0.8750 0.8027 0.7500
Co: 0.5000 0.5000 0.0000
Co: 0.2500 0.7500 0.5000
Bi: 0.0000 0.0000 0.0000
Bi: 0.7500 0.2500 0.5000

Record 3
Compound: TaTlBr2
Source: the Alexandria database
Functional: PBE
Structure: optimized geometry

Summary:
* uncorrected formation energy: 172 meV per atom
* ΔE to the lowest computed polymorph: 377 meV/atom

Unit cell a=4.5293 b=3.3421 c=6.5606 alpha=80.99 beta=90.00 gamma=90.00
Atoms (fractional coordinates):
Tl: 0.5000 0.7500 0.7500
Br: 0.0000 0.1606 0.0318
Br: 0.0000 0.3394 0.4682
Ta: 0.5000 0.2500 0.2500

Record 4
Compound: KTaBr
Source: the Alexandria database
Functional: PBE
Structure: optimized geometry

Summary:
* uncorrected formation energy: 1303 meV per atom
* ΔE to the lowest computed polymorph: 896 meV/atom

Unit cell a=5.2931 b=5.2931 c=5.2931 alpha=60.00 beta=60.00 gamma=60.00
Last column: magnetic moment on the atom in μB.
Atoms (fractional coordinates):
Br: 0.7500 0.7500 0.7500  0.09
K: 0.0000 0.0000 0.0000  0.05
Ta: 0.5000 0.5000 0.5000  2.50

Record 5
Compound: Ac2EuAs
Source: the Alexandria database
Functional: PBE
Structure: optimized geometry

Summary:
* ΔE to the lowest computed polymorph: 0 meV/atom

Unit cell a=4.2727 b=4.2727 c=10.8464 alpha=78.64 beta=78.64 gamma=60.00
Last column: magnetic moment on the atom in μB.
Atoms (fractional coordinates):
Eu: 0.5000 0.5000 0.5000  7.02
Ac: 0.2734 0.2734 0.1799  0.08
Ac: 0.7266 0.7266 0.8201  0.08
As: 0.0000 0.0000 0.0000  0.01

Record 6
Compound: PmNi5Sn
Source: the Alexandria database
Functional: PBE
Structure: optimized geometry

Summary:
* total energy: -160.3 eV/cell

Unit cell a=4.9252 b=8.1256 c=10.3059 alpha=90.00 beta=90.00 gamma=90.00
Atoms (fractional coordinates):
Pm: 0.2500 0.2501 0.9413
Pm: 0.7500 0.2499 0.4413
Pm: 0.2500 0.7501 0.5587
Pm: 0.7500 0.7499 0.0587
Ni: 0.2500 0.5849 0.0174
Ni: 0.7500 0.9151 0.5174
Ni: 0.2500 0.0849 0.4826
Ni: 0.7500 0.4151 0.9826
Ni: 0.7500 0.3140 0.7545
Ni: 0.2500 0.1860 0.2545
Ni: 0.7500 0.8140 0.7455
Ni: 0.2500 0.6860 0.2455
Ni: 0.2500 0.9474 0.1023
Ni: 0.7500 0.5526 0.6023
Ni: 0.2500 0.4474 0.3977
Ni: 0.7500 0.0526 0.8977
Ni: 0.9995 0.4337 0.1907
Ni: 0.0005 0.0663 0.6907
Ni: 0.5005 0.9337 0.3093
Ni: 0.4995 0.5663 0.8093
Ni: 0.0005 0.5663 0.8093
Ni: 0.9995 0.9337 0.3093
Ni: 0.4995 0.0663 0.6907
Ni: 0.5005 0.4337 0.1907
Sn: 0.2500 0.8582 0.8601
Sn: 0.7500 0.6418 0.3601
Sn: 0.2500 0.3582 0.6399
Sn: 0.7500 0.1418 0.1399

Record 7
Compound: Ga4IrPt
Source: the Alexandria database
Functional: PBE
Structure: optimized geometry

Summary:
* total energy: -59.9 eV/cell

Unit cell a=5.9987 b=5.9996 c=7.2911 alpha=114.17 beta=114.16 gamma=90.59
Atoms (fractional coordinates):
Ga: 0.2546 0.9982 0.4972
Ga: 0.0018 0.7451 0.0028
Ga: 0.2589 0.5023 0.5031
Ga: 0.4977 0.7408 0.9969
Ga: 0.7454 0.0018 0.5028
Ga: 0.7411 0.4977 0.4969
Ga: 0.9982 0.2549 0.9972
Ga: 0.5023 0.2592 0.0031
Ir: 0.3750 0.6253 0.2502
Ir: 0.6250 0.3747 0.7498
Pt: 0.8749 0.1249 0.2497
Pt: 0.1251 0.8751 0.7503

Record 8
Compound: RbCdAgBi
Source: the Alexandria database
Functional: PBE
Structure: optimized geometry

Summary:
* total energy: -17.5 eV/cell

Unit cell a=4.4185 b=4.4185 c=14.3747 alpha=90.00 beta=90.00 gamma=90.00
Atoms (fractional coordinates):
Rb: 0.7500 0.7500 0.2923
Rb: 0.2500 0.2500 0.7077
Cd: 0.7500 0.2500 0.0000
Cd: 0.2500 0.7500 0.0000
Ag: 0.2500 0.7500 0.5000
Ag: 0.7500 0.2500 0.5000
Bi: 0.7500 0.7500 0.8584
Bi: 0.2500 0.2500 0.1416

Record 9
Compound: Ag2MoW
Source: the Alexandria database
Functional: PBE
Structure: optimized geometry

Summary:
* ΔE to the lowest computed polymorph: 0 meV/atom

Unit cell a=2.7644 b=2.7644 c=9.4190 alpha=90.00 beta=90.00 gamma=109.79
Atoms (fractional coordinates):
Ag: 0.0000 0.0000 0.9961
Ag: 0.5000 0.5000 0.2537
Mo: 0.0000 0.0000 0.5116
W: 0.5000 0.5000 0.7387

Record 10
Compound: TmLuIn2
Source: the Alexandria database
Functional: PBE
Structure: optimized geometry

Summary:
* ΔE to the lowest computed polymorph: 103 meV/atom

Unit cell a=3.6177 b=3.6177 c=9.8587 alpha=79.43 beta=79.43 gamma=60.00
Atoms (fractional coordinates):
Lu: 0.0000 0.0000 0.0000
Tm: 0.5000 0.5000 0.5000
In: 0.7496 0.7496 0.7511
In: 0.2504 0.2504 0.2489

Record 11
Compound: GePt3Au
Source: the Alexandria database
Functional: PBE
Structure: optimized geometry

Summary:
* ΔE to the lowest computed polymorph: 0 meV/atom

Unit cell a=4.6354 b=4.6354 c=4.6354 alpha=90.00 beta=90.00 gamma=90.00
Atoms (fractional coordinates):
Ge: 0.0000 0.0000 0.0000
Au: 0.5000 0.5000 0.5000
Pt: 0.0000 0.5000 0.0000
Pt: 0.0000 0.0000 0.5000
Pt: 0.5000 0.0000 0.0000

Record 12
Compound: Y2CrRe
Source: the Alexandria database
Functional: PBE
Structure: optimized geometry

Summary:
* ΔE to the lowest computed polymorph: 0 meV/atom

Unit cell a=3.1530 b=3.1530 c=8.6231 alpha=90.00 beta=90.00 gamma=90.00
Atoms (fractional coordinates):
Cr: 0.0000 0.0000 0.5544
Re: 0.5000 0.5000 0.6931
Y: 0.0000 0.0000 0.9363
Y: 0.5000 0.5000 0.3162

Calculated DOS at the Fermi energy (states/eV per cell), listed in the same order as above: 6.74 6.08 2.21 5.54 3.93 27.64 5.97 3.67 2.36 2.69 4.41 4.35